Entry from Alexandria via LeMat-Bulk: crystalline Zr2FeSbO8 at its relaxed geometry (PBE with a Hubbard U).

a b c (Å): 4.853 4.853 6.342
angles (deg): 90.00 90.00 90.04
Fractional coordinates of all 12 atoms:
1 Zr 0.000 0.000 0.242
2 Zr 0.000 0.000 0.758
3 Fe 0.500 0.500 0.000
4 Sb 0.500 0.500 0.500
5 O 0.197 0.197 0.000
6 O 0.204 0.204 0.500
7 O 0.315 0.685 0.252
8 O 0.315 0.685 0.748
9 O 0.685 0.315 0.252
10 O 0.685 0.315 0.748
11 O 0.796 0.796 0.500
12 O 0.803 0.803 0.000

Calculated values
density of states at the Fermi level = 0.2 states/eV per cell
SG = Cmmm, No. 65
uncorrected energy = -7.818 eV/atom